DFT (PBE-GGA) results for a relaxed structure of LaBe2Hg.

The structure in CIF format:
```
data_LaBe2Hg
_chemical_formula_sum 'La2 Be4 Hg2'
_cell_length_a 4.1779
_cell_length_b 5.4759
_cell_length_c 7.3319
_cell_angle_alpha 90.00
_cell_angle_beta 90.00
_cell_angle_gamma 90.00
_symmetry_space_group_name_H-M 'I m m 2'
_symmetry_Int_Tables_number 44
loop_
_symmetry_equiv_pos_as_xyz
'x,y,z'
'-x,-y,z'
'-x,y,z'
'x,-y,z'
'x+1/2,y+1/2,z+1/2'
'-x+1/2,-y+1/2,z+1/2'
'-x+1/2,y+1/2,z+1/2'
'x+1/2,-y+1/2,z+1/2'
loop_
_atom_site_label
_atom_site_fract_x
_atom_site_fract_y
_atom_site_fract_z
_atom_site_occupancy
La1 0.0000 0.0000 0.0000 1
Be1 0.0000 0.0000 0.4138 1
Be2 0.0000 0.5000 0.8211 1
Hg1 0.0000 0.5000 0.1836 1
```

energy of formation: 0.215 eV/atom